# 1
## Pu2US5 (PBE)

Data for a relaxed Pu2US5 crystal.

Lattice parameters (Å, degrees): 11.4783 7.9680 7.3182 90.00 90.00 90.00
Closest atoms and distances in Å follow each position.
Space group Pnma (No. 62)
One atom of each set of equivalent atoms:
Pu 0.1772 0.0028 0.0267 (multiplicity 8)  8 S 2.82-3.00
U 0.0098 0.2500 0.5770 (multiplicity 4)  7 S 2.63-2.79
S 0.0002 0.2500 0.9584 (multiplicity 4)  1 U 2.79, 4 Pu 2.87
S 0.0922 0.5466 0.6687 (multiplicity 8)  2 U 2.63-2.69, 2 Pu 2.82-2.86
S 0.1896 0.2500 0.3357 (multiplicity 4)  1 U 2.72, 4 Pu 2.89-3.00
S 0.2170 0.7500 0.3044 (multiplicity 4)  1 U 2.74, 4 Pu 2.83-2.90

Calculated values
* E_form (uncorrected): -1634.0 meV/atom


# 2
## PmSn2S4 (PBE)

Data for a relaxed PmSn2S4 crystal.

Lattice parameters (Å, degrees): 3.8871 13.2192 13.3287 90.00 90.00 90.00
Closest atoms and distances in Å follow each position.
Space group Cmcm (No. 63)
One atom of each set of equivalent atoms:
Pm 0.0000 0.1148 0.2500 (multiplicity 4)  6 S 2.79-2.91
Sn 0.0000 0.3687 0.0666 (multiplicity 8)  6 S 2.75-2.89
S 0.0000 0.0000 0.0000 (multiplicity 4)  4 Sn 2.75
S 0.0000 0.2823 0.6238 (multiplicity 8)  3 Sn 2.78-2.89, 2 Pm 2.91
S 0.0000 0.4634 0.2500 (multiplicity 4)  2 Sn 2.75, 2 Pm 2.79

Calculated values
* E_form (uncorrected): -926.4 meV/atom


# 3
## ErMgCd2Pd4 (PBE)

Data for a relaxed ErMgCd2Pd4 crystal.

Lattice parameters (Å, degrees): 4.6836 4.6836 22.7972 90.00 90.00 120.00
Closest atoms and distances in Å follow each position.
Space group R-3m (No. 166, hexagonal axes)
One atom of each set of equivalent atoms:
Er 0.0000 0.0000 0.0000 (multiplicity 3)  8 Pd 2.88-2.90
Mg 0.0000 0.0000 0.5000 (multiplicity 3)  8 Pd 2.75-2.86
Cd 0.0000 0.0000 0.2490 (multiplicity 6)  8 Pd 2.80-2.97
Pd 0.0000 0.0000 0.1263 (multiplicity 6)  4 Cd 2.80-2.87, 3 Mg 2.86, 1 Er 2.88
Pd 0.0000 0.0000 0.3793 (multiplicity 6)  1 Mg 2.75, 4 Cd 2.84-2.97, 3 Er 2.90

Calculated values
* formation energy: -657 meV/atom


# 4
## Sr3InN3 (PBE)

Data for a relaxed Sr3InN3 crystal.

Lattice parameters (Å, degrees): 7.8492 7.8492 5.4775 90.00 90.00 120.00
Closest atoms and distances in Å follow each position.
Space group P6_3/m (No. 176)
One atom of each set of equivalent atoms:
Sr 0.0695 0.3488 0.2500 (multiplicity 6)  5 N 2.62-2.88
In 0.3333 0.6667 0.7500 (multiplicity 2)  3 N 2.14
N 0.0769 0.3803 0.7500 (multiplicity 6)  1 In 2.14

Calculated values
* E_form (uncorrected): -437.1 meV/atom


# 5
## ReTeCl2 (PBE)

Data for a relaxed ReTeCl2 crystal.

Lattice parameters (Å, degrees): 3.0758 5.0219 13.3237 90.00 90.00 90.00
Closest atoms and distances in Å follow each position.
Space group Immm (No. 71)
One atom of each set of equivalent atoms:
Re 0.0000 0.0000 0.0000 (multiplicity 2)  4 Cl 2.47
Te 0.0000 0.0000 0.5000 (multiplicity 2)  4 Re 2.94, 2 Te 3.08, 4 Cl 3.17
Cl 0.0000 0.5000 0.3554 (multiplicity 4)  2 Re 2.47

Calculated values
* E_form (uncorrected): 174.4 meV/atom
* energy relative to the lowest polymorph listed for this composition: 253 meV per atom


# 6
## KMg2Cr (PBE)

Data for a relaxed KMg2Cr crystal.

Lattice parameters (Å, degrees): 7.6314 7.6314 7.6314 90.00 90.00 90.00
Closest atoms and distances in Å follow each position.
Space group F-43m (No. 216)
One atom of each set of equivalent atoms:
K 0.0000 0.0000 0.0000 (multiplicity 4)  4 Cr 3.30, 4 Mg 3.30
Mg 0.0000 0.0000 0.5000 (multiplicity 4)  4 Cr 3.30, 4 Mg 3.30
Mg 0.2500 0.2500 0.2500 (multiplicity 4)  4 K 3.30, 4 Mg 3.30
Cr 0.2500 0.2500 0.7500 (multiplicity 4)  4 K 3.30, 4 Mg 3.30

Calculated values
* formation energy: 663 meV/atom
* energy relative to the lowest polymorph listed for this composition: 205 meV per atom


# 7
## ZrAgCl (PBE)

Data for a relaxed ZrAgCl crystal.

Lattice parameters (Å, degrees): 6.4897 6.4897 6.4897 90.00 90.00 90.00
Closest atoms and distances in Å follow each position.
Space group F-43m (No. 216)
One atom of each set of equivalent atoms:
Zr 0.0000 0.0000 0.0000 (multiplicity 4)  4 Ag 2.81, 4 Cl 2.81
Ag 0.2500 0.2500 0.2500 (multiplicity 4)  4 Zr 2.81
Cl 0.2500 0.2500 0.7500 (multiplicity 4)  4 Zr 2.81

Calculated values
* E_form (uncorrected): 60.7 meV/atom
* energy relative to the lowest polymorph listed for this composition: 678 meV per atom


# 8
## La2AgHg (PBE)

Data for a relaxed La2AgHg crystal.

Lattice parameters (Å, degrees): 8.4669 8.4669 6.9751 90.00 90.00 90.00
Closest atoms and distances in Å follow each position.
Space group I-42d (No. 122)
One atom of each set of equivalent atoms:
La 0.2341 0.2500 0.1250 (multiplicity 8)  2 Ag 3.03, 2 Hg 3.21
Ag 0.0000 0.0000 0.0000 (multiplicity 4)  4 La 3.03
Hg 0.0000 0.0000 0.5000 (multiplicity 4)  4 La 3.21, 2 Ag 3.49

Calculated values
* formation energy: -65 meV/atom


Repeat the fourth record exactly.
## Sr3InN3 (PBE)

Data for a relaxed Sr3InN3 crystal.

Lattice parameters (Å, degrees): 7.8492 7.8492 5.4775 90.00 90.00 120.00
Closest atoms and distances in Å follow each position.
Space group P6_3/m (No. 176)
One atom of each set of equivalent atoms:
Sr 0.0695 0.3488 0.2500 (multiplicity 6)  5 N 2.62-2.88
In 0.3333 0.6667 0.7500 (multiplicity 2)  3 N 2.14
N 0.0769 0.3803 0.7500 (multiplicity 6)  1 In 2.14

Calculated values
* E_form (uncorrected): -437.1 meV/atom